DFT (PBE) results for a geometry-optimized ZrNbPd2 structure.

a b c (Å): 4.129 4.107 4.107
angles (deg): 90.00 90.00 90.00
Fractional positions:
Nb (0.500, 0.500, 0.500)
Pd (0.000, 0.000, 0.500)
Pd (0.000, 0.500, 0.000)
Zr (0.500, 0.000, 0.000)

Output
* electronic total energy: -30.64 eV/cell
* relative energy among the computed polymorphs: 0.00 eV/f.u.
* total magnetic moment: 0.0000 μB/atom